Cr2SiSnO6: optimized geometry, GGA+U.

Cell: 5.529 4.940 5.972 Å, 64.26 54.31 62.15°
Positions (direct):
1 Cr 0.535 0.508 0.431
2 Cr 0.019 0.014 0.939
3 Si 0.344 0.299 0.080
4 Sn 0.835 0.784 0.581
5 O 0.568 0.265 0.200
6 O 0.185 0.992 0.267
7 O 0.979 0.582 0.233
8 O 0.433 0.681 0.757
9 O 0.648 0.107 0.807
10 O 0.115 0.429 0.722

As for the volume: 114 Å³ per cell. The calculation puts the calculated density at 5.04 Mg/m³. As for the calculated total energy: -7.205 eV per atom. As for the crystal system: triclinic.